This record from Alexandria describes an optimized crystal structure of PrCuPd4. The functional is GGA-PBE.

Lattice parameters (Å, degrees): 5.367 5.367 5.367 60.00 60.00 60.00
Element x y z (fractional)
Cu1 0.000 0.000 0.000
Pd1 0.626 0.626 0.123
Pd2 0.626 0.626 0.626
Pd3 0.123 0.626 0.626
Pd4 0.626 0.123 0.626
Pr1 0.250 0.250 0.250

Values from the calculation:
Symmetry   F-43m
Energy relative to the lowest polymorph listed for this composition   27 meV/atom

=====

This record from Alexandria describes an optimized crystal structure of Pr2Cu3Pd. The functional is GGA-PBE.

Lattice parameters (Å, degrees): 5.779 5.779 8.471 107.35 107.35 97.21
Element x y z (fractional)
Pr1 0.250 0.750 0.500
Pr2 0.749 0.749 0.000
Pr3 0.750 0.250 0.500
Pr4 0.251 0.251 0.000
Cu1 0.837 0.837 0.675
Cu2 0.325 0.837 0.162
Cu3 0.675 0.163 0.838
Cu4 0.163 0.163 0.325
Cu5 0.837 0.325 0.162
Cu6 0.163 0.675 0.838
Pd1 0.667 0.667 0.335
Pd2 0.333 0.333 0.665

Values from the calculation:
Symmetry   Fmmm
Energy relative to the lowest polymorph listed for this composition   0 meV/atom

=====

This record from Alexandria describes an optimized crystal structure of Pr2CuPd. The functional is GGA-PBE.

Lattice parameters (Å, degrees): 4.373 4.379 7.097 72.03 72.06 60.05
Element x y z (fractional)
Cu1 0.134 0.897 0.835
Pr1 0.713 0.475 0.100
Pr2 0.893 0.655 0.560
Pd1 0.471 0.235 0.823

Values from the calculation:
Symmetry   Cm

=====

This record from Alexandria describes an optimized crystal structure of PrCu2Pd10. The functional is GGA-PBE.

Lattice parameters (Å, degrees): 5.181 6.920 6.912 81.94 67.99 68.02
Element x y z (fractional)
Pd1 0.000 0.000 0.500
Pd2 0.282 0.224 0.213
Pd3 0.505 0.776 0.213
Pd4 0.495 0.224 0.787
Pd5 0.718 0.776 0.787
Pd6 0.651 0.358 0.341
Pd7 0.349 0.642 0.659
Pd8 0.500 0.000 0.500
Pd9 0.009 0.642 0.341
Pd10 0.991 0.358 0.659
Pr1 0.000 0.000 0.000
Cu1 0.000 0.500 0.000
Cu2 0.500 0.500 0.000

Values from the calculation:
Symmetry   Fmmm

=====

This record from Alexandria describes an optimized crystal structure of Pr2Cu9Pd. The functional is GGA-PBE.

Lattice parameters (Å, degrees): 5.179 5.179 8.714 72.71 72.71 60.00
Element x y z (fractional)
Cu1 0.421 0.923 0.236
Cu2 0.923 0.421 0.236
Cu3 0.667 0.667 0.999
Cu4 0.579 0.579 0.764
Cu5 0.579 0.077 0.764
Cu6 0.500 0.500 0.500
Cu7 0.421 0.421 0.236
Cu8 0.333 0.333 0.001
Cu9 0.077 0.579 0.764
Pr1 0.130 0.130 0.609
Pr2 0.870 0.870 0.391
Pd1 0.000 0.000 0.000

Values from the calculation:
Symmetry   R-3m

=====

This record from Alexandria describes an optimized crystal structure of PrCuPd. The functional is GGA-PBE.

Lattice parameters (Å, degrees): 4.475 5.687 5.784 77.70 67.24 66.83
Element x y z (fractional)
Pr1 0.460 0.788 0.291
Pr2 0.540 0.212 0.709
Cu1 0.844 0.207 0.104
Cu2 0.156 0.793 0.896
Pd1 0.827 0.626 0.721
Pd2 0.173 0.374 0.279

Values from the calculation:
Symmetry   C2/m
Energy relative to the lowest polymorph listed for this composition   9 meV/atom

=====

no.,energy of formation from the pure elements (eV per atom),calculated total energy (eV per formula unit)
1,-0.4194,-32.16
2,-0.3699,-29.26
3,-0.3355,-20.19
4,-0.2618,-68.30
5,-0.0475,-52.19
6,-0.5204,-15.63